TlCuTeN2 | Alexandria | PBE | relaxed; spin magnetization = 3.6 μB per cell; excess energy over the best structure of this formula in the dataset = 0.00 eV/f.u.; formation energy without anion corrections = 1.4663 eV per atom
1.0
4.155 0.000 0.000
0.000 4.155 0.000
0.000 0.000 5.513
N Te Cu Tl
2 1 1 1
Direct
0.500 0.000 0.000
0.000 0.500 0.000
0.000 0.000 0.500
0.000 0.000 0.000
0.500 0.500 0.500